(1)
A relaxed structure of LiNd2SbO6. Source: Alexandria via LeMat-Bulk, functional GGA-PBE.

Lattice parameters (Å, degrees): 5.574 5.574 5.576 61.62 61.67 61.68
Space group P-1 (No. 2)
Inequivalent atoms, fractional coordinates:
Li 0.000 0.000 0.000 x1
Nd 0.254 0.253 0.254 x2
Sb 0.500 0.500 0.500 x1
O 0.168 0.731 0.348 x2
O 0.270 0.651 0.832 x2
O 0.348 0.168 0.729 x2

Computed properties:
The formation energy without anion corrections comes out at -2.5498 eV/atom.


(2)
A relaxed structure of CaNbTc2. Source: Alexandria via LeMat-Bulk, functional GGA-PBE.

Lattice parameters (Å, degrees): 4.802 4.802 17.565 90.00 90.00 90.00
Space group I-42d (No. 122)
Inequivalent atoms, fractional coordinates:
Ca 0.000 0.000 0.000 x4
Nb 0.000 0.000 0.500 x4
Tc 0.033 0.250 0.625 x8

Computed properties:
As for the calculated formation energy: 0.966 eV per atom. The distance to the lowest polymorph of the same formula comes out at 571.5 meV per atom.


(3)
A relaxed structure of FeCo3Ag. Source: Alexandria via LeMat-Bulk, functional GGA-PBE.

Lattice parameters (Å, degrees): 4.572 4.572 4.572 90.00 90.00 90.00
Space group Pm-3m (No. 221)
Inequivalent atoms, fractional coordinates:
Fe 0.000 0.000 0.000 x1
Co 0.000 0.500 0.500 x3
Ag 0.500 0.500 0.500 x1

Computed properties:
As for the calculated formation energy: 1.931 eV per atom. The distance to the lowest polymorph of the same formula comes out at 829.1 meV per atom.


(4)
A relaxed structure of TbPmU2As4. Source: Alexandria via LeMat-Bulk, functional GGA-PBE.

Lattice parameters (Å, degrees): 7.103 4.100 7.261 90.00 109.02 90.00
Space group P2/m (No. 10)
Inequivalent atoms, fractional coordinates:
Tb 0.000 0.000 0.000 x1
Pm 0.500 0.500 0.000 x1
U 0.000 0.500 0.500 x1
U 0.500 0.000 0.500 x1
As 0.244 0.000 0.742 x2
As 0.249 0.500 0.256 x2

Computed properties:
As for the calculated formation energy: -1.134 eV per atom.


(5)
A relaxed structure of Sc5AgRh. Source: Alexandria via LeMat-Bulk, functional GGA-PBE.

Lattice parameters (Å, degrees): 8.251 6.761 11.237 90.00 103.70 90.00
Space group C2/c (No. 15)
Inequivalent atoms, fractional coordinates:
Sc 0.000 0.003 0.250 x4
Sc 0.132 0.342 0.073 x8
Sc 0.243 0.329 0.376 x8
Ag 0.000 0.405 0.750 x4
Rh 0.000 0.000 0.000 x4

Computed properties:
As for the calculated formation energy: -0.252 eV per atom.


(6)
A relaxed structure of Sc4AlGaAg2. Source: Alexandria via LeMat-Bulk, functional GGA-PBE.

Lattice parameters (Å, degrees): 4.8308 4.8308 23.6616 90.00 90.00 120.00
Space group R-3m (No. 166, hexagonal axes)
Inequivalent atoms, fractional coordinates:
Sc 0.0000 0.0000 0.1229 x6
Sc 0.0000 0.0000 0.3733 x6
Al 0.0000 0.0000 0.5000 x3
Ga 0.0000 0.0000 0.0000 x3
Ag 0.0000 0.0000 0.2452 x6

Computed properties:
As for the calculated formation energy: -0.416 eV per atom.


(7)
A relaxed structure of GaHPd3. Source: Alexandria via LeMat-Bulk, functional GGA-PBE.

Lattice parameters (Å, degrees): 4.139 5.430 5.867 90.00 90.08 90.00
Space group P2_1/m (No. 11)
Inequivalent atoms, fractional coordinates:
Ga 0.001 0.250 0.301 x2
H 0.498 0.750 0.250 x2
Pd 0.000 0.250 0.746 x2
Pd 0.499 0.750 0.938 x2
Pd 0.500 0.000 0.500 x2

Computed properties:
The distance to the lowest polymorph of the same formula comes out at 116.7 meV per atom.


(8)
A relaxed structure of LiYTmAg. Source: Alexandria via LeMat-Bulk, functional GGA-PBE.

Lattice parameters (Å, degrees): 3.667 5.079 5.127 90.00 90.00 90.00
Space group Pmmm (No. 47)
Inequivalent atoms, fractional coordinates:
Li 0.000 0.000 0.000 x1
Y 0.500 0.500 0.000 x1
Tm 0.500 0.000 0.500 x1
Ag 0.000 0.500 0.500 x1

Computed properties:
As for the calculated formation energy: -0.119 eV per atom. The distance to the lowest polymorph of the same formula comes out at 0.0 meV per atom.


(9)
A relaxed structure of SmGeAu2. Source: Alexandria via LeMat-Bulk, functional GGA-PBE.

Lattice parameters (Å, degrees): 4.454 4.454 4.298 90.00 90.00 90.00
Space group P4/mmm (No. 123)
Inequivalent atoms, fractional coordinates:
Sm 0.000 0.000 0.000 x1
Ge 0.500 0.500 0.000 x1
Au 0.000 0.500 0.500 x2

Computed properties:
As for the calculated formation energy: -0.499 eV per atom.


(10)
A relaxed structure of AcPuCdRh. Source: Alexandria via LeMat-Bulk, functional GGA-PBE.

Lattice parameters (Å, degrees): 7.496 7.496 7.496 90.00 90.00 90.00
Space group F-43m (No. 216)
Inequivalent atoms, fractional coordinates:
Ac 0.000 0.000 0.000 x4
Pu 0.000 0.000 0.500 x4
Cd 0.250 0.250 0.750 x4
Rh 0.250 0.250 0.250 x4

Computed properties:
As for the calculated formation energy: -0.162 eV per atom.


(11)
A relaxed structure of ZnHgBr2. Source: Alexandria via LeMat-Bulk, functional GGA-PBE.

Lattice parameters (Å, degrees): 5.217 5.217 3.696 90.00 90.00 90.00
Space group P4/mmm (No. 123)
Inequivalent atoms, fractional coordinates:
Zn 0.000 0.000 0.000 x1
Hg 0.500 0.500 0.000 x1
Br 0.000 0.500 0.500 x2

Computed properties:
The distance to the lowest polymorph of the same formula comes out at 646.6 meV per atom. The formation energy without anion corrections comes out at 0.0197 eV/atom.


(12)
A relaxed structure of TaP3Cl. Source: Alexandria via LeMat-Bulk, functional GGA-PBE.

Lattice parameters (Å, degrees): 4.819 4.819 4.819 90.00 90.00 90.00
Space group Pm-3m (No. 221)
Inequivalent atoms, fractional coordinates:
Ta 0.000 0.000 0.000 x1
P 0.000 0.000 0.500 x3
Cl 0.500 0.500 0.500 x1

Computed properties:
The distance to the lowest polymorph of the same formula comes out at 0.0 meV per atom. The formation energy without anion corrections comes out at 0.3510 eV/atom.


(13)
A relaxed structure of HfPaTe3. Source: Alexandria via LeMat-Bulk, functional GGA-PBE.

Lattice parameters (Å, degrees): 9.231 3.904 15.518 90.00 90.00 90.00
Space group Pnma (No. 62)
Inequivalent atoms, fractional coordinates:
Hf 0.143 0.250 0.034 x4
Pa 0.147 0.750 0.303 x4
Te 0.019 0.250 0.869 x4
Te 0.157 0.250 0.461 x4
Te 0.157 0.750 0.686 x4

Computed properties:
The distance to the lowest polymorph of the same formula comes out at 6.7 meV per atom. The formation energy without anion corrections comes out at -0.7281 eV/atom.


(14)
A relaxed structure of TbSm2Er. Source: Alexandria via LeMat-Bulk, functional GGA-PBE.

Lattice parameters (Å, degrees): 5.071 5.071 5.044 90.00 90.00 90.00
Space group P4/mmm (No. 123)
Inequivalent atoms, fractional coordinates:
Tb 0.000 0.000 0.000 x1
Sm 0.000 0.500 0.500 x2
Er 0.500 0.500 0.000 x1

Computed properties:
As for the calculated formation energy: 0.020 eV per atom. The distance to the lowest polymorph of the same formula comes out at 5.4 meV per atom.


(15)
A relaxed structure of Sm6TlIn5. Source: Alexandria via LeMat-Bulk, functional GGA-PBE.

Lattice parameters (Å, degrees): 5.424 7.675 16.283 90.00 90.00 90.00
Space group Immm (No. 71)
Inequivalent atoms, fractional coordinates:
Sm 0.000 0.249 0.000 x4
Sm 0.000 0.250 0.333 x8
Tl 0.000 0.000 0.500 x2
In 0.000 0.000 0.166 x4
In 0.000 0.500 0.167 x4
In 0.000 0.500 0.500 x2

Computed properties:
As for the calculated formation energy: -0.472 eV per atom. The distance to the lowest polymorph of the same formula comes out at 0.0 meV per atom.


(16)
A relaxed structure of Ca2MgAlCu. Source: Alexandria via LeMat-Bulk, functional GGA-PBE.

Lattice parameters (Å, degrees): 5.525 5.525 4.627 90.00 90.00 90.00
Space group P4/mmm (No. 123)
Inequivalent atoms, fractional coordinates:
Ca 0.000 0.500 0.000 x2
Mg 0.000 0.000 0.500 x1
Al 0.500 0.500 0.500 x1
Cu 0.500 0.500 0.000 x1

Computed properties:
As for the calculated formation energy: -0.010 eV per atom.


(17)
A relaxed structure of Cs2In4Hg3Bi. Source: Alexandria via LeMat-Bulk, functional GGA-PBE.

Lattice parameters (Å, degrees): 5.230 5.230 12.695 90.00 90.00 90.00
Space group P-4m2 (No. 115)
Inequivalent atoms, fractional coordinates:
Cs 0.000 0.500 0.249 x2
In 0.000 0.000 0.000 x1
In 0.000 0.500 0.635 x2
In 0.500 0.500 0.000 x1
Hg 0.000 0.500 0.876 x2
Hg 0.500 0.500 0.500 x1
Bi 0.000 0.000 0.500 x1

Computed properties:
As for the calculated formation energy: -0.161 eV per atom.


(18)
A relaxed structure of RbTcB2. Source: Alexandria via LeMat-Bulk, functional GGA-PBE.

Lattice parameters (Å, degrees): 6.493 6.493 9.139 90.00 90.00 90.00
Space group I-42d (No. 122)
Inequivalent atoms, fractional coordinates:
Rb 0.000 0.000 0.000 x4
Tc 0.000 0.000 0.500 x4
B 0.001 0.250 0.625 x8

Computed properties:
As for the calculated formation energy: 0.592 eV per atom. The distance to the lowest polymorph of the same formula comes out at 0.0 meV per atom.


Size of the total moment in μB per cell, matching the order above: 0.00; 0.00; 8.84; 4.90; 0.00; 0.00; 0.00; 0.00; 0.00; 22.33; 0.00; 0.00; 4.43; 0.00; 0.00; 0.00; 0.00; 0.00